The following is a PBE calculation of a relaxed structure of ScInC2, from Alexandria.

a b c (Å): 5.887 5.887 5.394
angles (deg): 56.93 56.93 90.00
Element x y z (fractional)
Sc  0.500  0.500  0.000
Sc  0.250  0.750  0.500
C  0.875  0.876  0.750
In  0.000  0.000  0.000
In  0.750  0.250  0.500
C  0.124  0.625  0.250
C  0.375  0.374  0.750
C  0.626  0.125  0.250

formation energy from the elements: 0.894 eV/atom
calculated total energy: -5.986 eV per atom

***

The following is a PBE calculation of a relaxed structure of HgTe2, from Alexandria.

a b c (Å): 10.861 10.861 4.048
angles (deg): 90.00 90.00 156.75
Element x y z (fractional)
Te  0.231  0.769  0.250
Te  0.446  0.554  0.750
Hg  0.107  0.893  0.750
Hg  0.893  0.107  0.250
Te  0.769  0.231  0.750
Te  0.554  0.446  0.250

energy relative to the elements, uncorrected: 0.09 eV per atom
relative energy among the computed polymorphs: 66.3 meV/atom
calculated total energy: -2.106 eV per atom